Entry 1:
SnF4: relaxed, GGA-PBE.

a = 4.0822 Å, b = 4.0822 Å, c = 4.0822 Å
α = 90.00°, β = 90.00°, γ = 90.00°
Last column: nearest neighbours and their distance in Å.
Fractional coordinates of all 5 atoms:
Sn 0.0000 0.0000 0.0000  6 F 2.04
F 0.0000 0.0000 0.5000  2 Sn 2.04
F 0.0000 0.5000 0.0000  2 Sn 2.04
F 0.5000 0.0000 0.0000  2 Sn 2.04
F 0.5000 0.5000 0.5000  12 F 2.89

Calculated values
crystal system = cubic
electronic total energy = -21.0 eV/cell
calculated density = 4.75 g cm⁻³

***

Entry 2:
SnF: relaxed, GGA-PBE.

a = 6.2024 Å, b = 6.2024 Å, c = 4.7109 Å
α = 90.00°, β = 90.00°, γ = 90.00°
Last column: nearest neighbours and their distance in Å.
Fractional coordinates of all 8 atoms:
Sn 0.1680 0.1680 0.0000  2 F 2.40
Sn 0.3320 0.6680 0.5000  2 F 2.40
Sn 0.6680 0.3320 0.5000  2 F 2.40
Sn 0.8320 0.8320 0.0000  2 F 2.40
F 0.2176 0.2176 0.5000  2 Sn 2.40
F 0.2824 0.7176 0.0000  2 Sn 2.40
F 0.7176 0.2824 0.0000  2 Sn 2.40
F 0.7824 0.7824 0.5000  2 Sn 2.40

Calculated values
crystal system = tetragonal
electronic total energy = -33.1 eV/cell
calculated density = 5.05 g cm⁻³